(1)
Computed, not measured: an optimized crystal structure of CoTcSn2 at the PBE level of DFT.

Results
Fermi-level density of states ... 4.992 states/eV/f.u.
E above lowest polymorph ... 436 meV/atom
Energy of formation from the pure elements ... 235.0 kJ/mol of formula units
Calculated total energy ... -5.76 eV per atom

a b c (Å): 3.040 3.040 28.074
angles (deg): 90.00 90.00 120.00
Atoms (fractional coordinates):
Co 0.000 0.000 0.000
Co 0.333 0.667 0.667
Co 0.667 0.333 0.333
Tc 0.000 0.000 0.500
Tc 0.333 0.667 0.167
Tc 0.667 0.333 0.833
Sn 0.000 0.000 0.404
Sn 0.000 0.000 0.596
Sn 0.333 0.667 0.070
Sn 0.333 0.667 0.263
Sn 0.667 0.333 0.737
Sn 0.667 0.333 0.930

***

(2)
Computed, not measured: an optimized crystal structure of CoTc2Sn6 at the PBE level of DFT.

Results
Fermi-level density of states ... 5.460 states/eV/f.u.
Energy of formation from the pure elements ... 70.9 kJ/mol of formula units
Calculated total energy ... -5.68 eV per atom

a b c (Å): 6.262 6.998 10.103
angles (deg): 90.00 122.83 90.00
Atoms (fractional coordinates):
Co 0.000 0.000 0.000
Co 0.000 0.500 0.500
Tc 0.197 0.148 0.749
Tc 0.197 0.352 0.249
Tc 0.803 0.648 0.751
Tc 0.803 0.852 0.251
Sn 0.076 0.166 0.437
Sn 0.076 0.334 0.937
Sn 0.310 0.675 0.445
Sn 0.310 0.825 0.945
Sn 0.417 0.010 0.262
Sn 0.417 0.490 0.762
Sn 0.583 0.510 0.238
Sn 0.583 0.990 0.738
Sn 0.690 0.175 0.055
Sn 0.690 0.325 0.555
Sn 0.924 0.666 0.063
Sn 0.924 0.834 0.563

***

(3)
Computed, not measured: an optimized crystal structure of CoTc2Sn2 at the PBE level of DFT.

Results
Fermi-level density of states ... 5.634 states/eV/f.u.
Energy of formation from the pure elements ... 138.9 kJ/mol of formula units
Calculated total energy ... -6.88 eV per atom

a b c (Å): 6.513 6.513 4.148
angles (deg): 90.00 90.00 90.00
Atoms (fractional coordinates):
Co 0.000 0.000 0.000
Co 0.500 0.500 0.000
Tc 0.136 0.364 0.000
Tc 0.364 0.864 0.000
Tc 0.636 0.136 0.000
Tc 0.864 0.636 0.000
Sn 0.172 0.672 0.500
Sn 0.328 0.172 0.500
Sn 0.672 0.828 0.500
Sn 0.828 0.328 0.500

***

(4)
Computed, not measured: an optimized crystal structure of Co3TcSn at the PBE level of DFT.

Results
Fermi-level density of states ... 6.582 states/eV/f.u.
E above lowest polymorph ... 542 meV/atom
Energy of formation from the pure elements ... 842.2 kJ/mol of formula units
Calculated total energy ... -5.39 eV per atom

a b c (Å): 4.577 4.577 4.577
angles (deg): 90.00 90.00 90.00
Atoms (fractional coordinates):
Co 0.000 0.000 0.500
Co 0.000 0.500 0.000
Co 0.500 0.000 0.000
Tc 0.500 0.500 0.500
Sn 0.000 0.000 0.000

***

(5)
Computed, not measured: an optimized crystal structure of Co2Tc2Sn at the PBE level of DFT.

Results
Fermi-level density of states ... 6.960 states/eV/f.u.
E above lowest polymorph ... 77 meV/atom
Energy of formation from the pure elements ... 182.4 kJ/mol of formula units
Calculated total energy ... -7.41 eV per atom

a b c (Å): 3.374 3.374 13.098
angles (deg): 90.00 90.00 90.00
Atoms (fractional coordinates):
Co 0.000 0.500 0.250
Co 0.000 0.500 0.750
Co 0.500 0.000 0.250
Co 0.500 0.000 0.750
Tc 0.000 0.000 0.112
Tc 0.000 0.000 0.888
Tc 0.500 0.500 0.388
Tc 0.500 0.500 0.612
Sn 0.000 0.000 0.500
Sn 0.500 0.500 0.000

***

(6)
Computed, not measured: an optimized crystal structure of CoTcSn3 at the PBE level of DFT.

Results
Fermi-level density of states ... 10.471 states/eV/f.u.
E above lowest polymorph ... 31 meV/atom
Energy of formation from the pure elements ... 380.3 kJ/mol of formula units
Calculated total energy ... -5.11 eV per atom

a b c (Å): 5.135 5.135 5.135
angles (deg): 90.00 90.00 90.00
Atoms (fractional coordinates):
Co 0.000 0.000 0.000
Tc 0.500 0.500 0.500
Sn 0.000 0.500 0.500
Sn 0.500 0.000 0.500
Sn 0.500 0.500 0.000

***

(7)
Computed, not measured: an optimized crystal structure of Co2Tc2Sn at the PBE level of DFT.

Results
Fermi-level density of states ... 6.164 states/eV/f.u.
E above lowest polymorph ... 59 meV/atom
Energy of formation from the pure elements ... 173.5 kJ/mol of formula units
Calculated total energy ... -7.43 eV per atom

a b c (Å): 7.334 7.334 2.733
angles (deg): 90.00 90.00 90.00
Atoms (fractional coordinates):
Co 0.162 0.338 0.000
Co 0.338 0.838 0.000
Co 0.662 0.162 0.000
Co 0.838 0.662 0.000
Tc 0.125 0.625 0.500
Tc 0.375 0.125 0.500
Tc 0.625 0.875 0.500
Tc 0.875 0.375 0.500
Sn 0.000 0.000 0.500
Sn 0.500 0.500 0.500

***

(8)
Computed, not measured: an optimized crystal structure of Co2Tc2Sn at the PBE level of DFT.

Results
Fermi-level density of states ... 6.024 states/eV/f.u.
E above lowest polymorph ... 0 meV/atom
Energy of formation from the pure elements ... 145.3 kJ/mol of formula units
Calculated total energy ... -7.49 eV per atom

a b c (Å): 7.049 7.049 2.864
angles (deg): 90.00 90.00 90.00
Atoms (fractional coordinates):
Co 0.118 0.382 0.000
Co 0.382 0.882 0.000
Co 0.618 0.118 0.000
Co 0.882 0.618 0.000
Tc 0.172 0.672 0.500
Tc 0.328 0.172 0.500
Tc 0.672 0.828 0.500
Tc 0.828 0.328 0.500
Sn 0.000 0.000 0.000
Sn 0.500 0.500 0.000

***

(9)
Computed, not measured: an optimized crystal structure of Co2TcSn at the PBE level of DFT.

Results
Fermi-level density of states ... 5.887 states/eV/f.u.
Energy of formation from the pure elements ... 248.2 kJ/mol of formula units
Calculated total energy ... -6.50 eV per atom

a b c (Å): 3.915 3.915 16.485
angles (deg): 90.00 90.00 90.00
Atoms (fractional coordinates):
Co 0.206 0.250 0.125
Co 0.250 0.706 0.375
Co 0.250 0.794 0.875
Co 0.294 0.250 0.625
Co 0.706 0.750 0.625
Co 0.750 0.206 0.875
Co 0.750 0.294 0.375
Co 0.794 0.750 0.125
Tc 0.000 0.000 0.000
Tc 0.000 0.500 0.250
Tc 0.500 0.000 0.750
Tc 0.500 0.500 0.500
Sn 0.000 0.000 0.500
Sn 0.000 0.500 0.750
Sn 0.500 0.000 0.250
Sn 0.500 0.500 0.000

***

(10)
Computed, not measured: an optimized crystal structure of CoTcSn2 at the PBE level of DFT.

Results
Fermi-level density of states ... 5.073 states/eV/f.u.
E above lowest polymorph ... 447 meV/atom
Energy of formation from the pure elements ... 239.2 kJ/mol of formula units
Calculated total energy ... -5.75 eV per atom

a b c (Å): 7.131 7.131 5.922
angles (deg): 90.00 90.00 90.00
Atoms (fractional coordinates):
Co 0.000 0.000 0.000
Co 0.000 0.500 0.250
Co 0.500 0.000 0.750
Co 0.500 0.500 0.500
Tc 0.000 0.000 0.500
Tc 0.000 0.500 0.750
Tc 0.500 0.000 0.250
Tc 0.500 0.500 0.000
Sn 0.222 0.250 0.125
Sn 0.250 0.722 0.375
Sn 0.250 0.778 0.875
Sn 0.278 0.250 0.625
Sn 0.722 0.750 0.625
Sn 0.750 0.222 0.875
Sn 0.750 0.278 0.375
Sn 0.778 0.750 0.125

***

(11)
Computed, not measured: an optimized crystal structure of CoTcSn3 at the PBE level of DFT.

Results
Fermi-level density of states ... 5.492 states/eV/f.u.
E above lowest polymorph ... 0 meV/atom
Energy of formation from the pure elements ... 365.5 kJ/mol of formula units
Calculated total energy ... -5.14 eV per atom

a b c (Å): 4.845 4.845 4.845
angles (deg): 90.00 90.00 90.00
Atoms (fractional coordinates):
Co 0.000 0.000 0.000
Tc 0.500 0.500 0.500
Sn 0.000 0.000 0.500
Sn 0.000 0.500 0.000
Sn 0.500 0.000 0.000

***

(12)
Computed, not measured: an optimized crystal structure of ThCoTcSn at the PBE level of DFT.

Results
Fermi-level density of states ... 2.316 states/eV/f.u.
Energy of formation from the pure elements ... -46.3 kJ/mol of formula units
Calculated total energy ... -7.34 eV per atom

a b c (Å): 6.725 6.725 6.725
angles (deg): 90.00 90.00 90.00
Atoms (fractional coordinates):
Th 0.000 0.000 0.000
Th 0.000 0.500 0.500
Th 0.500 0.000 0.500
Th 0.500 0.500 0.000
Co 0.250 0.250 0.250
Co 0.250 0.750 0.750
Co 0.750 0.250 0.750
Co 0.750 0.750 0.250
Tc 0.250 0.250 0.750
Tc 0.250 0.750 0.250
Tc 0.750 0.250 0.250
Tc 0.750 0.750 0.750
Sn 0.000 0.000 0.500
Sn 0.000 0.500 0.000
Sn 0.500 0.000 0.000
Sn 0.500 0.500 0.500

***

(13)
Computed, not measured: an optimized crystal structure of UCoTcSn at the PBE level of DFT.

Results
Fermi-level density of states ... 6.351 states/eV/f.u.
Energy of formation from the pure elements ... -7.6 kJ/mol of formula units
Calculated total energy ... -8.21 eV per atom

a b c (Å): 6.569 6.569 6.569
angles (deg): 90.00 90.00 90.00
Atoms (fractional coordinates):
U 0.000 0.000 0.000
U 0.000 0.500 0.500
U 0.500 0.000 0.500
U 0.500 0.500 0.000
Co 0.250 0.250 0.750
Co 0.250 0.750 0.250
Co 0.750 0.250 0.250
Co 0.750 0.750 0.750
Tc 0.250 0.250 0.250
Tc 0.250 0.750 0.750
Tc 0.750 0.250 0.750
Tc 0.750 0.750 0.250
Sn 0.000 0.000 0.500
Sn 0.000 0.500 0.000
Sn 0.500 0.000 0.000
Sn 0.500 0.500 0.500

***

(14)
Computed, not measured: an optimized crystal structure of VCoTcSn at the PBE level of DFT.

Results
Fermi-level density of states ... 3.470 states/eV/f.u.
Energy of formation from the pure elements ... -19.2 kJ/mol of formula units
Calculated total energy ... -7.70 eV per atom

a b c (Å): 6.162 6.162 6.162
angles (deg): 90.00 90.00 90.00
Atoms (fractional coordinates):
V 0.000 0.000 0.000
V 0.000 0.500 0.500
V 0.500 0.000 0.500
V 0.500 0.500 0.000
Co 0.250 0.250 0.750
Co 0.250 0.750 0.250
Co 0.750 0.250 0.250
Co 0.750 0.750 0.750
Tc 0.250 0.250 0.250
Tc 0.250 0.750 0.750
Tc 0.750 0.250 0.750
Tc 0.750 0.750 0.250
Sn 0.000 0.000 0.500
Sn 0.000 0.500 0.000
Sn 0.500 0.000 0.000
Sn 0.500 0.500 0.500

***

(15)
Computed, not measured: an optimized crystal structure of Co2SnTe at the PBE level of DFT.

Results
Fermi-level density of states ... 10.504 states/eV/f.u.
E above lowest polymorph ... 9 meV/atom
ΔE_f (raw) ... 0.351 eV per atom
Calculated total energy ... -4.99 eV per atom

a b c (Å): 6.462 6.462 6.462
angles (deg): 90.00 90.00 90.00
Atoms (fractional coordinates):
Co 0.250 0.250 0.250
Co 0.250 0.250 0.750
Co 0.250 0.750 0.250
Co 0.250 0.750 0.750
Co 0.750 0.250 0.250
Co 0.750 0.250 0.750
Co 0.750 0.750 0.250
Co 0.750 0.750 0.750
Sn 0.000 0.000 0.000
Sn 0.000 0.500 0.500
Sn 0.500 0.000 0.500
Sn 0.500 0.500 0.000
Te 0.000 0.000 0.500
Te 0.000 0.500 0.000
Te 0.500 0.000 0.000
Te 0.500 0.500 0.500

***

(16)
Computed, not measured: an optimized crystal structure of Co2SnTe at the PBE level of DFT.

Results
Fermi-level density of states ... 3.912 states/eV/f.u.
E above lowest polymorph ... 0 meV/atom
ΔE_f (raw) ... 0.343 eV per atom
Calculated total energy ... -5.00 eV per atom

a b c (Å): 4.457 4.457 15.668
angles (deg): 90.00 90.00 90.00
Atoms (fractional coordinates):
Co 0.218 0.250 0.125
Co 0.250 0.718 0.375
Co 0.250 0.782 0.875
Co 0.282 0.250 0.625
Co 0.718 0.750 0.625
Co 0.750 0.218 0.875
Co 0.750 0.282 0.375
Co 0.782 0.750 0.125
Sn 0.000 0.000 0.500
Sn 0.000 0.500 0.750
Sn 0.500 0.000 0.250
Sn 0.500 0.500 0.000
Te 0.000 0.000 0.000
Te 0.000 0.500 0.250
Te 0.500 0.000 0.750
Te 0.500 0.500 0.500

***

(17)
Computed, not measured: an optimized crystal structure of CoSnTe at the PBE level of DFT.

Results
Fermi-level density of states ... 1.315 states/eV/f.u.
E above lowest polymorph ... 0 meV/atom
ΔE_f (raw) ... 0.023 eV per atom
Calculated total energy ... -4.73 eV per atom

a b c (Å): 12.208 4.930 5.022
angles (deg): 90.00 110.60 90.00
Atoms (fractional coordinates):
Co 0.121 0.000 0.424
Co 0.379 0.500 0.576
Co 0.621 0.500 0.424
Co 0.879 0.000 0.576
Sn 0.102 0.000 0.893
Sn 0.398 0.500 0.107
Sn 0.602 0.500 0.893
Sn 0.898 0.000 0.107
Te 0.155 0.500 0.324
Te 0.345 0.000 0.676
Te 0.655 0.000 0.324
Te 0.845 0.500 0.676

***

(18)
Computed, not measured: an optimized crystal structure of CoSnTe at the PBE level of DFT.

Results
Fermi-level density of states ... 2.132 states/eV/f.u.
E above lowest polymorph ... 132 meV/atom
ΔE_f (raw) ... 0.155 eV per atom
Calculated total energy ... -4.60 eV per atom

a b c (Å): 3.115 6.604 6.577
angles (deg): 90.00 90.12 90.00
Atoms (fractional coordinates):
Co 0.000 0.180 0.000
Co 0.000 0.820 0.500
Sn 0.500 0.000 0.250
Sn 0.500 0.000 0.750
Te 0.000 0.500 0.249
Te 0.000 0.500 0.749

***

(19)
Computed, not measured: an optimized crystal structure of TlCoSn2Te at the PBE level of DFT.

Results
Fermi-level density of states ... 1.096 states/eV/f.u.
ΔE_f (raw) ... -0.061 eV per atom
Calculated total energy ... -4.18 eV per atom

a b c (Å): 4.989 4.989 5.148
angles (deg): 90.00 90.00 90.00
Atoms (fractional coordinates):
Tl 0.000 0.000 0.000
Co 0.000 0.000 0.500
Sn 0.000 0.500 0.500
Sn 0.500 0.000 0.500
Te 0.500 0.500 0.000

***

(20)
Computed, not measured: an optimized crystal structure of ThCo2Sn2 at the PBE level of DFT.

Results
Fermi-level density of states ... 3.392 states/eV/f.u.
E above lowest polymorph ... 232 meV/atom
Energy of formation from the pure elements ... -44.0 kJ/mol of formula units
Calculated total energy ... -6.02 eV per atom

a b c (Å): 8.482 7.600 5.723
angles (deg): 77.68 61.09 41.24
Atoms (fractional coordinates):
Th 0.125 0.125 0.125
Th 0.875 0.875 0.875
Co 0.145 0.605 0.145
Co 0.395 0.855 0.395
Co 0.605 0.145 0.605
Co 0.855 0.395 0.855
Sn 0.268 0.268 0.482
Sn 0.482 0.482 0.268
Sn 0.518 0.518 0.732
Sn 0.732 0.732 0.518